No. 1
The following is a PBE calculation of Sc2TaAs after structural relaxation, from the Alexandria database.

The value obtained for the total energy is -7.271 eV/atom. Its energy relative to the elements is 20 meV/atom. The total magnetization is 0.481 μB/atom.

The structure belongs to space group F-43m (No. 216); the cell edges are 6.701, 6.701 and 6.701 Å and the angles 90.00°, 90.00° and 90.00°. The inequivalent atoms are Sc at (0.000, 0.000, 0.000), Sc at (0.250, 0.250, 0.250), Ta at (0.250, 0.250, 0.750) and As at (0.000, 0.000, 0.500).



No. 2
The following is a PBE calculation of Rb2U2AgS6 after structural relaxation, from the Alexandria database.

The value obtained for the total energy is -5.938 eV/atom. The total magnetization is 0.273 μB/atom. As for the uncorrected formation energy: -13.20 eV/f.u.

The structure belongs to space group C2/m (No. 12); the cell edges are 6.749, 12.381 and 8.106 Å and the angles 90.00°, 104.42° and 90.00°. The inequivalent atoms are Rb at (0.000, 0.153, 0.000), U at (0.000, 0.337, 0.500), Ag at (0.000, 0.000, 0.500), S at (0.215, 0.500, 0.679) and S at (0.238, 0.187, 0.691).



No. 3
The following is a PBE calculation of ErThSb after structural relaxation, from the Alexandria database.

The value obtained for the total energy is -5.890 eV/atom. The total magnetization is 0.000 μB/atom. As for the uncorrected formation energy: -1.57 eV/f.u.

The structure belongs to space group I4mm (No. 107); the cell edges are 3.979, 3.979 and 11.124 Å and the angles 90.00°, 90.00° and 90.00°. The inequivalent atoms are Er at (0.000, 0.000, 0.000), Th at (0.000, 0.000, 0.697) and Sb at (0.000, 0.000, 0.363).



No. 4
The following is a PBE calculation of AcAsRh2 after structural relaxation, from the Alexandria database.

The value obtained for the total energy is -6.557 eV/atom. Its energy relative to the elements is -692 meV/atom. The total magnetization is 0.000 μB/atom.

The structure belongs to space group Cmmm (No. 65); the cell edges are 5.694, 7.709 and 4.222 Å and the angles 90.00°, 90.00° and 90.00°. The inequivalent atoms are Ac at (0.000, 0.000, 0.000), As at (0.000, 0.500, 0.500) and Rh at (0.250, 0.250, 0.500).



No. 5
The following is a PBE calculation of TaCd2CuH after structural relaxation, from the Alexandria database.

The value obtained for the total energy is -3.325 eV/atom. The total magnetization is 0.000 μB/atom.

The structure belongs to space group P4/mmm (No. 123); the cell edges are 5.481, 5.481 and 3.349 Å and the angles 90.00°, 90.00° and 90.00°. The inequivalent atoms are Ta at (0.000, 0.000, 0.000), Cd at (0.000, 0.500, 0.000), Cu at (0.500, 0.500, 0.500) and H at (0.000, 0.000, 0.500).



No. 6
The following is a PBE calculation of Hf2Nb2Ag after structural relaxation, from the Alexandria database.

The value obtained for the total energy is -8.304 eV/atom. Its energy relative to the elements is 276 meV/atom. The total magnetization is 0.000 μB/atom.

The structure belongs to space group P4/mbm (No. 127); the cell edges are 7.322, 7.322 and 3.846 Å and the angles 90.00°, 90.00° and 90.00°. The inequivalent atoms are Hf at (0.169, 0.331, 0.000), Nb at (0.128, 0.628, 0.500) and Ag at (0.000, 0.000, 0.500).



No. 7
The following is a PBE calculation of CdSnPt3 after structural relaxation, from the Alexandria database.

The value obtained for the total energy is -3.948 eV/atom. Its energy relative to the elements is 660 meV/atom. The total magnetization is 0.000 μB/atom.

The structure belongs to space group Pm-3m (No. 221); the cell edges are 4.947, 4.947 and 4.947 Å and the angles 90.00°, 90.00° and 90.00°. The inequivalent atoms are Cd at (0.000, 0.000, 0.000), Sn at (0.500, 0.500, 0.500) and Pt at (0.000, 0.500, 0.500).



No. 8
The following is a PBE calculation of LiReNF2 after structural relaxation, from the Alexandria database.

The value obtained for the total energy is -5.576 eV/atom. The total magnetization is 0.467 μB/atom. As for the uncorrected formation energy: -1.45 eV/f.u.

The structure belongs to space group P4/mmm (No. 123); the cell edges are 3.245, 3.245 and 4.567 Å and the angles 90.00°, 90.00° and 90.00°. The inequivalent atoms are Li at (0.000, 0.000, 0.000), Re at (0.500, 0.500, 0.500), N at (0.000, 0.000, 0.500) and F at (0.000, 0.500, 0.000).



No. 9
The following is a PBE calculation of Y2HfCo9 after structural relaxation, from the Alexandria database.

The value obtained for the total energy is -7.397 eV/atom. Its energy relative to the elements is -161 meV/atom. The total magnetization is 0.813 μB/atom.

The structure belongs to space group R-3m (No. 166, hexagonal axes); the cell edges are 4.8766, 4.8766 and 24.5644 Å and the angles 90.00°, 90.00° and 120.00°. The inequivalent atoms are Y at (0.0000, 0.0000, 0.1387), Hf at (0.0000, 0.0000, 0.0000), Co at (0.0000, 0.0000, 0.3341), Co at (0.0000, 0.0000, 0.5000) and Co at (0.0007, 0.5004, 0.9206).



No. 10
The following is a PBE calculation of CrCCl3 after structural relaxation, from the Alexandria database.

The value obtained for the total energy is -3.770 eV/atom. The total magnetization is 0.305 μB/atom. As for the uncorrected formation energy: 5.54 eV/f.u.

The structure belongs to space group Pm-3m (No. 221); the cell edges are 4.619, 4.619 and 4.619 Å and the angles 90.00°, 90.00° and 90.00°. The inequivalent atoms are Cr at (0.000, 0.000, 0.000), C at (0.500, 0.500, 0.500) and Cl at (0.000, 0.000, 0.500).



No. 11
The following is a PBE calculation of NaLiBiSb after structural relaxation, from the Alexandria database.

The value obtained for the total energy is -3.133 eV/atom. The total magnetization is 0.000 μB/atom. As for the uncorrected formation energy: -1.30 eV/f.u.

The structure belongs to space group Pmmm (No. 47); the cell edges are 4.636, 4.681 and 4.702 Å and the angles 90.00°, 90.00° and 90.00°. The inequivalent atoms are Na at (0.000, 0.000, 0.000), Li at (0.000, 0.500, 0.500), Bi at (0.500, 0.000, 0.500) and Sb at (0.500, 0.500, 0.000).



No. 12
The following is a PBE calculation of Cu6PdPt8 after structural relaxation, from the Alexandria database.

The value obtained for the total energy is -5.112 eV/atom. Its energy relative to the elements is 94 meV/atom. The total magnetization is 0.000 μB/atom.

The structure belongs to space group P-3 (No. 147); the cell edges are 9.6348, 9.6348 and 2.7578 Å and the angles 90.00°, 90.00° and 120.00°. The inequivalent atoms are Cu at (0.0921, 0.4791, 0.2412), Pd at (0.0000, 0.0000, 0.0000), Pt at (0.0827, 0.7793, 0.2705) and Pt at (0.3333, 0.6667, 0.7402).



No. 13
The following is a PBE calculation of ScZnCdGa after structural relaxation, from the Alexandria database.

The value obtained for the total energy is -3.130 eV/atom. Its energy relative to the elements is -243 meV/atom. The total magnetization is 0.000 μB/atom.

The structure belongs to space group F-43m (No. 216); the cell edges are 6.698, 6.698 and 6.698 Å and the angles 90.00°, 90.00° and 90.00°. The inequivalent atoms are Sc at (0.000, 0.000, 0.000), Zn at (0.250, 0.250, 0.250), Cd at (0.000, 0.000, 0.500) and Ga at (0.250, 0.250, 0.750).



No. 14
The following is a PBE calculation of Pm2GeRh after structural relaxation, from the Alexandria database.

The value obtained for the total energy is -6.156 eV/atom. Its energy relative to the elements is -789 meV/atom. The total magnetization is 0.000 μB/atom.

The structure belongs to space group P2_1/m (No. 11); the cell edges are 5.913, 4.273 and 8.124 Å and the angles 90.00°, 110.10° and 90.00°. The inequivalent atoms are Pm at (0.188, 0.250, 0.414), Pm at (0.280, 0.750, 0.060), Ge at (0.368, 0.750, 0.704) and Rh at (0.147, 0.250, 0.788).



No. 15
The following is a PBE calculation of La2Pm4In3 after structural relaxation, from the Alexandria database.

The value obtained for the total energy is -4.267 eV/atom. Its energy relative to the elements is -148 meV/atom. The total magnetization is 0.003 μB/atom.

The structure belongs to space group C2/m (No. 12); the cell edges are 17.412, 9.155 and 3.539 Å and the angles 90.00°, 90.41° and 90.00°. The inequivalent atoms are La at (0.000, 0.189, 0.000), Pm at (0.164, 0.308, 0.498), In at (0.000, 0.500, 0.500) and In at (0.192, 0.000, 0.998).



No. 16
The following is a PBE calculation of PaSnPt2 after structural relaxation, from the Alexandria database.

The value obtained for the total energy is -7.070 eV/atom. Its energy relative to the elements is -675 meV/atom. The total magnetization is 0.002 μB/atom.

The structure belongs to space group P4/mmm (No. 123); the cell edges are 3.383, 3.383 and 7.230 Å and the angles 90.00°, 90.00° and 90.00°. The inequivalent atoms are Pa at (0.000, 0.000, 0.000), Sn at (0.000, 0.000, 0.500) and Pt at (0.500, 0.500, 0.247).



No. 17
The following is a PBE calculation of NaNpGa2 after structural relaxation, from the Alexandria database.

The value obtained for the total energy is -5.075 eV/atom. Its energy relative to the elements is 3 meV/atom. The total magnetization is 0.989 μB/atom.

The structure belongs to space group P4/mmm (No. 123); the cell edges are 2.935, 2.935 and 9.587 Å and the angles 90.00°, 90.00° and 90.00°. The inequivalent atoms are Na at (0.000, 0.000, 0.000), Np at (0.000, 0.000, 0.500) and Ga at (0.500, 0.500, 0.255).



No. 18
The following is a PBE calculation of AgW2 after structural relaxation, from the Alexandria database.

The value obtained for the total energy is -7.639 eV/atom. Its energy relative to the elements is 1947 meV/atom. The total magnetization is 0.000 μB/atom.

The structure belongs to space group P4/mmm (No. 123); the cell edges are 4.529, 4.529 and 2.837 Å and the angles 90.00°, 90.00° and 90.00°. The inequivalent atoms are Ag at (0.000, 0.000, 0.000) and W at (0.000, 0.500, 0.500).



No. 19
The following is a PBE calculation of FePOs2 after structural relaxation, from the Alexandria database.

The value obtained for the total energy is -8.611 eV/atom. Its energy relative to the elements is 472 meV/atom. The total magnetization is 0.784 μB/atom.

The structure belongs to space group Cmmm (No. 65); the cell edges are 2.846, 4.815 and 8.135 Å and the angles 90.00°, 90.00° and 90.00°. The inequivalent atoms are Fe at (0.000, 0.000, 0.000), P at (0.000, 0.000, 0.500) and Os at (0.000, 0.500, 0.271).



No. 20
The following is a PBE calculation of Ho6Tm2Mg after structural relaxation, from the Alexandria database.

The value obtained for the total energy is -4.196 eV/atom. Its energy relative to the elements is 26 meV/atom. The total magnetization is 0.000 μB/atom.

The structure belongs to space group P4_2/mnm (No. 136); the cell edges are 10.417, 10.417 and 4.981 Å and the angles 90.00°, 90.00° and 90.00°. The inequivalent atoms are Ho at (0.000, 0.334, 0.000), Ho at (0.166, 0.166, 0.500), Tm at (0.167, 0.833, 0.500) and Mg at (0.000, 0.000, 0.000).



No. 21
The following is a PBE calculation of CaY2O4 after structural relaxation, from the Alexandria database.

The value obtained for the total energy is -8.273 eV/atom. The total magnetization is 0.000 μB/atom. As for the uncorrected formation energy: -23.15 eV/f.u.

The structure belongs to space group Cmcm (No. 63); the cell edges are 3.330, 11.084 and 11.004 Å and the angles 90.00°, 90.00° and 90.00°. The inequivalent atoms are Ca at (0.000, 0.111, 0.250), Y at (0.000, 0.368, 0.075), O at (0.000, 0.000, 0.000), O at (0.000, 0.267, 0.613) and O at (0.000, 0.467, 0.250).



No. 22
The following is a PBE calculation of La5SmHo2 after structural relaxation, from the Alexandria database.

The value obtained for the total energy is -4.685 eV/atom. Its energy relative to the elements is 129 meV/atom. The total magnetization is 0.000 μB/atom.

The structure belongs to space group C2/c (No. 15); the cell edges are 16.936, 10.179 and 6.753 Å and the angles 90.00°, 101.52° and 90.00°. The inequivalent atoms are La at (0.000, 0.061, 0.250), La at (0.092, 0.404, 0.152), La at (0.206, 0.085, 0.028), Sm at (0.250, 0.250, 0.500) and Ho at (0.083, 0.257, 0.650).



No. 23
The following is a PBE calculation of RbCoNiBr6 after structural relaxation, from the Alexandria database.

The value obtained for the total energy is -3.268 eV/atom. The total magnetization is 0.221 μB/atom. As for the uncorrected formation energy: -5.52 eV/f.u.

The structure belongs to space group P312 (No. 149); the cell edges are 6.4845, 6.4845 and 7.8290 Å and the angles 90.00°, 90.00° and 120.00°. The inequivalent atoms are Rb at (0.0000, 0.0000, 0.0000), Co at (0.6667, 0.3333, 0.5000), Ni at (0.3333, 0.6667, 0.5000) and Br at (0.3756, 0.0134, 0.6772).



No. 24
The following is a PBE calculation of La3PuAu4 after structural relaxation, from the Alexandria database.

The value obtained for the total energy is -5.962 eV/atom. Its energy relative to the elements is -684 meV/atom. The total magnetization is 0.730 μB/atom.

The structure belongs to space group P4/mmm (No. 123); the cell edges are 3.749, 3.749 and 14.939 Å and the angles 90.00°, 90.00° and 90.00°. The inequivalent atoms are La at (0.000, 0.000, 0.000), La at (0.000, 0.000, 0.256), Pu at (0.000, 0.000, 0.500), Au at (0.500, 0.500, 0.127) and Au at (0.500, 0.500, 0.380).



No. 25
The following is a PBE calculation of KMgBeSe after structural relaxation, from the Alexandria database.

The value obtained for the total energy is -2.695 eV/atom. The total magnetization is 0.097 μB/atom. As for the uncorrected formation energy: -0.88 eV/f.u.

The structure belongs to space group P3m1 (No. 156); the cell edges are 3.6606, 3.6606 and 8.6412 Å and the angles 90.00°, 90.00° and 120.00°. The inequivalent atoms are K at (0.0000, 0.0000, 0.0000), Mg at (0.3333, 0.6667, 0.6362), Be at (0.0000, 0.0000, 0.4066) and Se at (0.3333, 0.6667, 0.3091).